This record from the Alexandria database describes an optimized crystal structure of NiSb2SeI. The functional is PBE.

a b c (Å): 5.400 5.400 5.712
angles (deg): 90.00 90.00 90.00
Fractional positions:
Ni 0.000 0.000 0.000
Sb 0.000 0.500 0.500
Sb 0.500 0.000 0.500
Se 0.500 0.500 0.500
I 0.500 0.500 0.000

formation energy without anion corrections: 1144 meV/atom
offset from the most stable computed form: 373 kJ/mol of formula units
spin magnetization: 0.209 μB/atom
V: 166.6 Å³/cell



This record from the Alexandria database describes an optimized crystal structure of TmU2RuC4. The functional is PBE.

a b c (Å): 6.051 6.051 11.414
angles (deg): 90.00 90.00 146.59
Fractional positions:
Tm 0.113 0.887 0.750
Tm 0.887 0.113 0.250
U 0.370 0.630 0.549
U 0.370 0.630 0.951
U 0.630 0.370 0.049
U 0.630 0.370 0.451
Ru 0.148 0.852 0.250
Ru 0.852 0.148 0.750
C 0.000 0.000 0.000
C 0.000 0.000 0.500
C 0.266 0.734 0.118
C 0.266 0.734 0.382
C 0.456 0.544 0.750
C 0.544 0.456 0.250
C 0.734 0.266 0.618
C 0.734 0.266 0.882

calculated formation energy: -0.037 eV per atom
spin magnetization: 0.000 μB/atom
V: 230.1 Å³/cell



This record from the Alexandria database describes an optimized crystal structure of Tm3Sc2Cd. The functional is PBE.

a b c (Å): 3.450 3.450 13.441
angles (deg): 90.00 90.00 90.00
Fractional positions:
Tm 0.000 0.000 0.000
Tm 0.000 0.000 0.342
Tm 0.000 0.000 0.658
Sc 0.500 0.500 0.170
Sc 0.500 0.500 0.830
Cd 0.500 0.500 0.500

offset from the most stable computed form: 0 kJ/mol of formula units
calculated formation energy: -0.070 eV per atom
spin magnetization: 0.000 μB/atom
V: 159.9 Å³/cell



This record from the Alexandria database describes an optimized crystal structure of YReTc. The functional is PBE.

a b c (Å): 3.036 3.036 6.944
angles (deg): 90.00 90.00 120.00
Fractional positions:
Y 0.000 0.000 0.000
Re 0.667 0.333 0.363
Tc 0.333 0.667 0.637

offset from the most stable computed form: 188 kJ/mol of formula units
calculated formation energy: 0.483 eV per atom
spin magnetization: 0.000 μB/atom
V: 55.4 Å³/cell



This record from the Alexandria database describes an optimized crystal structure of Be3Co. The functional is PBE.

a b c (Å): 3.995 3.995 3.995
angles (deg): 90.00 90.00 90.00
Fractional positions:
Be 0.000 0.000 0.500
Be 0.000 0.500 0.000
Be 0.500 0.000 0.000
Co 0.000 0.000 0.000

calculated formation energy: 1.016 eV per atom
spin magnetization: 0.000 μB/atom
V: 63.8 Å³/cell



This record from the Alexandria database describes an optimized crystal structure of Tb4ZnCu3. The functional is PBE.

a b c (Å): 3.782 4.529 10.419
angles (deg): 90.00 90.00 90.00
Fractional positions:
Tb 0.000 0.000 0.000
Tb 0.000 0.500 0.274
Tb 0.500 0.000 0.486
Tb 0.500 0.500 0.777
Zn 0.000 0.000 0.707
Cu 0.000 0.500 0.563
Cu 0.500 0.000 0.206
Cu 0.500 0.500 0.066

offset from the most stable computed form: 12 kJ/mol of formula units
calculated formation energy: -0.246 eV per atom
spin magnetization: 0.000 μB/atom
V: 178.5 Å³/cell



This record from the Alexandria database describes an optimized crystal structure of Tb6HoCo3. The functional is PBE.

a b c (Å): 8.406 8.406 7.222
angles (deg): 90.00 90.00 93.74
Fractional positions:
Tb 0.001 0.501 0.491
Tb 0.021 0.979 0.500
Tb 0.285 0.286 0.749
Tb 0.286 0.285 0.249
Tb 0.332 0.668 0.249
Tb 0.499 0.999 0.491
Tb 0.501 0.001 0.991
Tb 0.668 0.332 0.749
Tb 0.714 0.715 0.749
Tb 0.715 0.714 0.249
Tb 0.979 0.021 0.000
Tb 0.999 0.499 0.991
Ho 0.317 0.683 0.749
Ho 0.683 0.317 0.249
Co 0.030 0.752 0.230
Co 0.248 0.970 0.230
Co 0.499 0.501 0.499
Co 0.501 0.499 0.999
Co 0.752 0.030 0.730
Co 0.970 0.248 0.730

calculated formation energy: -0.037 eV per atom
spin magnetization: 0.000 μB/atom
V: 509.3 Å³/cell



This record from the Alexandria database describes an optimized crystal structure of LaPm6Dy3. The functional is PBE.

a b c (Å): 11.110 11.110 6.334
angles (deg): 90.00 90.00 120.23
Fractional positions:
La 0.191 0.809 0.500
La 0.809 0.191 0.000
Pm 0.037 0.963 0.725
Pm 0.054 0.472 0.224
Pm 0.282 0.718 0.955
Pm 0.292 0.374 0.051
Pm 0.374 0.292 0.551
Pm 0.472 0.054 0.724
Pm 0.528 0.946 0.224
Pm 0.626 0.708 0.051
Pm 0.708 0.626 0.551
Pm 0.718 0.282 0.455
Pm 0.946 0.528 0.724
Pm 0.963 0.037 0.225
Dy 0.060 0.290 0.636
Dy 0.290 0.060 0.136
Dy 0.384 0.616 0.510
Dy 0.616 0.384 0.010
Dy 0.710 0.940 0.636
Dy 0.940 0.710 0.136

offset from the most stable computed form: 0 kJ/mol of formula units
calculated formation energy: 0.142 eV per atom
spin magnetization: 0.000 μB/atom
V: 675.5 Å³/cell



This record from the Alexandria database describes an optimized crystal structure of CoRePdI2. The functional is PBE.

a b c (Å): 5.093 5.093 4.552
angles (deg): 90.00 90.00 90.00
Fractional positions:
Co 0.000 0.000 0.000
Re 0.000 0.000 0.500
Pd 0.500 0.500 0.500
I 0.000 0.500 0.000
I 0.500 0.000 0.000

formation energy without anion corrections: 1384 meV/atom
spin magnetization: 0.550 μB/atom
V: 118.1 Å³/cell



This record from the Alexandria database describes an optimized crystal structure of Sm2GaCo2. The functional is PBE.

a b c (Å): 5.463 5.463 7.664
angles (deg): 102.22 102.22 60.21
Fractional positions:
Sm 0.005 0.705 0.855
Sm 0.295 0.995 0.645
Sm 0.705 0.005 0.355
Sm 0.995 0.295 0.145
Ga 0.371 0.629 0.250
Ga 0.629 0.371 0.750
Co 0.209 0.503 0.494
Co 0.497 0.791 0.006
Co 0.503 0.209 0.994
Co 0.791 0.497 0.506

calculated formation energy: -0.338 eV per atom
spin magnetization: 0.099 μB/atom
V: 192.5 Å³/cell



This record from the Alexandria database describes an optimized crystal structure of RbNaVSe3. The functional is PBE.

a b c (Å): 7.889 7.889 6.989
angles (deg): 90.00 90.00 123.16
Fractional positions:
Rb 0.225 0.775 0.750
Rb 0.775 0.225 0.250
Na 0.432 0.568 0.250
Na 0.568 0.432 0.750
V 0.059 0.941 0.250
V 0.941 0.059 0.750
Se 0.213 0.213 0.000
Se 0.213 0.213 0.500
Se 0.224 0.776 0.250
Se 0.776 0.224 0.750
Se 0.787 0.787 0.000
Se 0.787 0.787 0.500

formation energy without anion corrections: -945 meV/atom
spin magnetization: 0.167 μB/atom
V: 364.1 Å³/cell



This record from the Alexandria database describes an optimized crystal structure of TaBe2Ga. The functional is PBE.

a b c (Å): 3.748 3.748 3.558
angles (deg): 90.00 90.00 90.00
Fractional positions:
Ta 0.000 0.000 0.000
Be 0.000 0.500 0.500
Be 0.500 0.000 0.500
Ga 0.500 0.500 0.000

calculated formation energy: -0.161 eV per atom
spin magnetization: 0.000 μB/atom
V: 50.0 Å³/cell



This record from the Alexandria database describes an optimized crystal structure of CaLa3Pm6Y2. The functional is PBE.

a b c (Å): 6.390 6.390 12.133
angles (deg): 95.02 95.02 120.05
Fractional positions:
Ca 0.000 0.000 0.000
La 0.166 0.834 0.500
La 0.500 0.500 0.500
La 0.834 0.166 0.500
Pm 0.083 0.424 0.248
Pm 0.257 0.257 0.752
Pm 0.424 0.083 0.248
Pm 0.576 0.917 0.752
Pm 0.743 0.743 0.248
Pm 0.917 0.576 0.752
Y 0.333 0.667 0.000
Y 0.667 0.333 0.000

calculated formation energy: 0.042 eV per atom
spin magnetization: 0.000 μB/atom
V: 422.2 Å³/cell



This record from the Alexandria database describes an optimized crystal structure of ReB2N2. The functional is PBE.

a b c (Å): 5.848 5.848 2.537
angles (deg): 90.00 90.00 90.00
Fractional positions:
Re 0.000 0.000 0.000
Re 0.500 0.500 0.000
B 0.101 0.399 0.000
B 0.399 0.899 0.000
B 0.601 0.101 0.000
B 0.899 0.601 0.000
N 0.197 0.303 0.500
N 0.303 0.803 0.500
N 0.697 0.197 0.500
N 0.803 0.697 0.500

formation energy without anion corrections: 488 meV/atom
offset from the most stable computed form: 0 kJ/mol of formula units
spin magnetization: 0.000 μB/atom
V: 86.8 Å³/cell



This record from the Alexandria database describes an optimized crystal structure of NaLiBr2. The functional is PBE.

a b c (Å): 7.574 7.574 7.574
angles (deg): 30.54 30.54 30.54
Fractional positions:
Na 0.000 0.000 0.000
Li 0.168 0.168 0.168
Br 0.419 0.419 0.419
Br 0.581 0.581 0.581

formation energy without anion corrections: -1469 meV/atom
offset from the most stable computed form: 21 kJ/mol of formula units
spin magnetization: 0.000 μB/atom
V: 99.5 Å³/cell



This record from the Alexandria database describes an optimized crystal structure of Pm2GaI. The functional is PBE.

a b c (Å): 3.643 3.643 8.400
angles (deg): 90.00 90.00 90.00
Fractional positions:
Pm 0.000 0.000 0.221
Pm 0.000 0.000 0.779
Ga 0.500 0.500 0.000
I 0.500 0.500 0.500

formation energy without anion corrections: -665 meV/atom
offset from the most stable computed form: 36 kJ/mol of formula units
spin magnetization: 0.001 μB/atom
V: 111.5 Å³/cell



This record from the Alexandria database describes an optimized crystal structure of NiBi. The functional is PBE.

a b c (Å): 7.758 7.758 7.758
angles (deg): 93.40 93.40 151.80
Fractional positions:
Ni 0.180 0.284 0.464
Ni 0.284 0.820 0.105
Ni 0.716 0.180 0.895
Ni 0.820 0.716 0.536
Bi 0.057 0.722 0.779
Bi 0.278 0.057 0.335
Bi 0.722 0.943 0.665
Bi 0.943 0.278 0.221

calculated formation energy: 0.276 eV per atom
spin magnetization: 0.000 μB/atom
V: 214.0 Å³/cell



This record from the Alexandria database describes an optimized crystal structure of YMn2Pb. The functional is PBE.

a b c (Å): 5.837 5.837 3.217
angles (deg): 103.37 103.37 116.21
Fractional positions:
Y 0.000 0.000 0.000
Mn 0.000 0.500 0.500
Mn 0.500 0.000 0.500
Pb 0.500 0.500 0.000

calculated formation energy: 0.403 eV per atom
spin magnetization: 1.761 μB/atom
V: 88.4 Å³/cell



This record from the Alexandria database describes an optimized crystal structure of TaGeOs2. The functional is PBE.

a b c (Å): 4.280 4.280 3.361
angles (deg): 90.00 90.00 90.00
Fractional positions:
Ta 0.000 0.000 0.000
Ge 0.500 0.500 0.000
Os 0.000 0.500 0.500
Os 0.500 0.000 0.500

calculated formation energy: 0.001 eV per atom
spin magnetization: 0.000 μB/atom
V: 61.6 Å³/cell